(1)
Here is Y2TaAg after structural relaxation from Alexandria. Energies are from PBE-GGA.

The structure in CIF format:
```
data_Y2TaAg
_cell_length_a 4.374
_cell_length_b 4.374
_cell_length_c 9.879
_cell_angle_alpha 90.00
_cell_angle_beta 90.00
_cell_angle_gamma 90.00
_space_group_name_H-M_alt 'I -4 m 2'
_space_group_IT_number 119
_space_group_name_Hall 'I -4 -2'
loop_
_atom_site_label
_atom_site_type_symbol
_atom_site_fract_x
_atom_site_fract_y
_atom_site_fract_z
_atom_site_occupancy
Y1 Y 0.000 0.000 0.000 1
Y2 Y 0.000 0.500 0.250 1
Ta1 Ta 0.000 0.000 0.500 1
Ag1 Ag 0.000 0.500 0.750 1
```

**Density of states at the Fermi level**: 1.731 states/eV/atom
**Offset from the most stable computed form**: 26.0 kJ per mole of atoms
**Formation energy**: 0.3469 eV per atom
**Electronic total energy**: -6.561 eV/atom
**Magnetic moment**: 0.00 μB/f.u.
**Crystal system**: tetragonal

***

(2)
Here is YTaAg3 after structural relaxation from Alexandria. Energies are from PBE-GGA.

The structure in CIF format:
```
data_YTaAg3
_cell_length_a 5.089
_cell_length_b 5.089
_cell_length_c 5.089
_cell_angle_alpha 90.00
_cell_angle_beta 90.00
_cell_angle_gamma 90.00
_space_group_name_H-M_alt 'P m -3 m'
_space_group_IT_number 221
_space_group_name_Hall '-P 4 2 3'
loop_
_atom_site_label
_atom_site_type_symbol
_atom_site_fract_x
_atom_site_fract_y
_atom_site_fract_z
_atom_site_occupancy
Y1 Y 0.000 0.000 0.000 1
Ta1 Ta 0.500 0.500 0.500 1
Ag1 Ag 0.000 0.500 0.500 1
```

**Density of states at the Fermi level**: 1.401 states/eV/atom
**Offset from the most stable computed form**: 0.0 kJ per mole of atoms
**Formation energy**: 0.9446 eV per atom
**Electronic total energy**: -4.429 eV/atom
**Magnetic moment**: 0.00 μB/f.u.
**Crystal system**: cubic

***

(3)
Here is YTaAg2 after structural relaxation from Alexandria. Energies are from PBE-GGA.

The structure in CIF format:
```
data_YTaAg2
_cell_length_a 9.831
_cell_length_b 2.995
_cell_length_c 5.774
_cell_angle_alpha 90.00
_cell_angle_beta 98.01
_cell_angle_gamma 90.00
_space_group_name_H-M_alt 'C 1 2/m 1'
_space_group_IT_number 12
loop_
_space_group_symop_operation_xyz
'x,y,z'
'-x,-y,-z'
'-x,y,-z'
'x,-y,z'
'x+1/2,y+1/2,z'
'-x+1/2,-y+1/2,-z'
'-x+1/2,y+1/2,-z'
'x+1/2,-y+1/2,z'
loop_
_atom_site_label
_atom_site_type_symbol
_atom_site_fract_x
_atom_site_fract_y
_atom_site_fract_z
_atom_site_occupancy
Y1 Y 0.000 0.000 0.000 1
Ta1 Ta 0.000 0.500 0.500 1
Ag1 Ag 0.244 0.000 0.716 1
```

**Density of states at the Fermi level**: 0.940 states/eV/atom
**Offset from the most stable computed form**: 18.3 kJ per mole of atoms
**Formation energy**: 0.3380 eV per atom
**Electronic total energy**: -5.667 eV/atom
**Magnetic moment**: 0.00 μB/f.u.
**Crystal system**: monoclinic

***

(4)
Here is YTaAg2 after structural relaxation from Alexandria. Energies are from PBE-GGA.

The structure in CIF format:
```
data_YTaAg2
_cell_length_a 3.1640
_cell_length_b 3.1640
_cell_length_c 28.9716
_cell_angle_alpha 90.00
_cell_angle_beta 90.00
_cell_angle_gamma 120.00
_space_group_name_H-M_alt 'R 3 m'
_space_group_IT_number 160
_space_group_name_Hall 'R 3 -2"'
loop_
_atom_site_label
_atom_site_type_symbol
_atom_site_fract_x
_atom_site_fract_y
_atom_site_fract_z
_atom_site_occupancy
Y1 Y 0.0000 0.0000 0.0000 1
Ta1 Ta 0.0000 0.0000 0.2466 1
Ag1 Ag 0.0000 0.0000 0.5014 1
Ag2 Ag 0.0000 0.0000 0.7559 1
```

**Density of states at the Fermi level**: 0.910 states/eV/atom
**Offset from the most stable computed form**: 13.4 kJ per mole of atoms
**Formation energy**: 0.2877 eV per atom
**Electronic total energy**: -5.717 eV/atom
**Magnetic moment**: 0.00 μB/f.u.
**Crystal system**: trigonal